First-principles (GGA-PBEsol) data for a geometry-optimized CaBeSbI2 structure, as listed in the Alexandria database.

Total magnetic moment in Bohr magnetons per cell: 1.48
Energy relative to the elements, uncorrected in eV/atom: 0.4259
SG: P4/mmm

Cell and atoms, written as POSCAR:
```
CaBeSbI2
1.0
5.8300 0.0000 0.0000
0.0000 5.8300 0.0000
0.0000 0.0000 6.2108
I Sb Ca Be
2 1 1 1
Direct
0.0000 0.5000 0.0000 I
0.5000 0.0000 0.0000 I
0.0000 0.0000 0.5000 Sb
0.0000 0.0000 0.0000 Ca
0.5000 0.5000 0.5000 Be
```

=====

First-principles (GGA-PBEsol) data for a geometry-optimized CaBeTeI2 structure, as listed in the Alexandria database.

Total magnetic moment in Bohr magnetons per cell: 0.00
Energy relative to the elements, uncorrected in eV/atom: -0.4920
SG: P4/mmm

Cell and atoms, written as POSCAR:
```
CaBeTeI2
1.0
5.1796 0.0000 0.0000
0.0000 5.1796 0.0000
0.0000 0.0000 5.3300
I Be Ca Te
2 1 1 1
Direct
0.0000 0.5000 0.0000 I
0.5000 0.0000 0.0000 I
0.0000 0.0000 0.0000 Be
0.5000 0.5000 0.5000 Ca
0.0000 0.0000 0.5000 Te
```

=====

First-principles (GGA-PBEsol) data for a geometry-optimized CaBeIn structure, as listed in the Alexandria database.

Formation energy from the elements in meV per atom: 46
Total magnetic moment in Bohr magnetons per cell: 0.00
SG: F-43m

Cell and atoms, written as POSCAR:
```
CaBeIn
1.0
-1.8277 4.0929 0.8589
-4.5166 0.4223 0.5025
-1.7648 0.8934 4.1131
Be Ca In
1 1 1
Direct
0.2500 0.2500 0.2500 Be
0.0000 0.0000 0.0000 Ca
0.5000 0.5000 0.5000 In
```